Below is crystalline CsBiPd at its relaxed geometry, with properties calculated at the PBE-GGA level.

Calculated values
- DFT formation energy (eV/atom) = -0.195
- symmetry = P3m1 (156)
- crystal system = trigonal
- relative energy among the computed polymorphs (eV/atom) = 0.156

abc: 4.6777 4.6777 6.1379
angles: 90.00 90.00 120.00
Closest atoms and distances in Å follow each position.
Fractional positions:
Cs 0.0000 0.0000 0.0000  6 Pd 4.08-4.10, 6 Bi 4.09
Bi 0.6667 0.3333 0.4997  3 Pd 2.70
Pd 0.3333 0.6667 0.5016  3 Bi 2.70

Below is crystalline TaTlReS2 at its relaxed geometry, with properties calculated at the PBE-GGA level.

Calculated values
- raw formation energy (eV per atom) = 2.3915
- symmetry = P4/mmm (123)
- crystal system = tetragonal

abc: 4.8823 4.8823 5.5236
angles: 90.00 90.00 90.00
Closest atoms and distances in Å follow each position.
Fractional positions:
Ta 0.0000 0.0000 0.0000  2 Tl 2.76
Tl 0.0000 0.0000 0.5000  4 S 2.44
Re 0.5000 0.5000 0.0000  4 Ta 3.45, 8 S 3.69
S 0.0000 0.5000 0.5000  2 Tl 2.44
S 0.5000 0.0000 0.5000  2 Tl 2.44

Below is crystalline LiCd8Cu2 at its relaxed geometry, with properties calculated at the PBE-GGA level.

Calculated values
- DFT formation energy (eV/atom) = 0.016
- symmetry = C2/m (12)
- crystal system = monoclinic

abc: 7.1036 7.1036 5.0765
angles: 96.80 96.80 111.79
Closest atoms and distances in Å follow each position.
Fractional positions:
Li 0.0000 0.0000 0.0000  8 Cd 2.91-3.10
Cd 0.0702 0.3199 0.6175  2 Cu 2.71-2.72, 1 Cd 2.94
Cd 0.2508 0.7492 0.0000  2 Cu 2.65, 1 Li 2.95
Cd 0.3199 0.0702 0.6175  2 Cu 2.71-2.72, 1 Cd 2.94
Cd 0.3716 0.3716 0.1900  2 Cu 2.76, 1 Li 2.91
Cd 0.6284 0.6284 0.8100  2 Cu 2.76, 1 Li 2.91
Cd 0.6801 0.9298 0.3825  2 Cu 2.71-2.72, 1 Cd 2.94
Cd 0.7492 0.2508 0.0000  2 Cu 2.65, 1 Li 2.95
Cd 0.9298 0.6801 0.3825  2 Cu 2.71-2.72, 1 Cd 2.94
Cu 0.3148 0.6852 0.5000  8 Cd 2.65-2.76
Cu 0.6852 0.3148 0.5000  8 Cd 2.65-2.76

Below is crystalline Tl2CuGeBr6 at its relaxed geometry, with properties calculated at the PBE-GGA level.

Calculated values
- raw formation energy (eV per atom) = -0.5833
- symmetry = R3 (146)
- crystal system = trigonal

abc: 7.4597 7.4597 7.4597
angles: 60.38 60.38 60.38
Closest atoms and distances in Å follow each position.
Fractional positions:
Tl 0.0000 0.0000 0.0000  9 Br 3.45-3.84
Tl 0.4917 0.4917 0.4917  9 Br 3.45-3.76
Cu 0.2436 0.2436 0.2436  6 Br 2.62
Ge 0.7435 0.7435 0.7435  6 Br 2.71
Br 0.0385 0.9568 0.4891  1 Cu 2.62, 1 Ge 2.71
Br 0.4488 0.5299 0.9966  1 Cu 2.62, 1 Ge 2.71
Br 0.4891 0.0385 0.9568  1 Cu 2.62, 1 Ge 2.71
Br 0.5300 0.9966 0.4488  1 Cu 2.62, 1 Ge 2.71
Br 0.9568 0.4891 0.0385  1 Cu 2.62, 1 Ge 2.71
Br 0.9966 0.4488 0.5299  1 Cu 2.62, 1 Ge 2.71

Below is crystalline Cr2Co6Re at its relaxed geometry, with properties calculated at the PBE-GGA level.

Calculated values
- DFT formation energy (eV/atom) = 0.153
- symmetry = C2/m (12)
- crystal system = monoclinic

abc: 6.6045 6.6045 4.3043
angles: 99.00 99.00 141.76
Closest atoms and distances in Å follow each position.
Fractional positions:
Cr 0.1660 0.8340 0.0000  10 Co 2.39-2.54
Cr 0.8340 0.1660 0.0000  10 Co 2.39-2.54
Co 0.1700 0.5121 0.6702  5 Co 2.36-2.59, 4 Cr 2.39-2.54, 1 Re 2.50
Co 0.3283 0.3283 0.1638  2 Cr 2.42, 3 Re 2.46-2.55, 5 Co 2.48-2.55
Co 0.4879 0.8300 0.3298  5 Co 2.36-2.59, 4 Cr 2.39-2.54, 1 Re 2.50
Co 0.5121 0.1700 0.6702  5 Co 2.36-2.59, 4 Cr 2.39-2.54, 1 Re 2.50
Co 0.6717 0.6717 0.8362  2 Cr 2.42, 3 Re 2.46-2.55, 5 Co 2.48-2.55
Co 0.8300 0.4879 0.3298  5 Co 2.36-2.59, 4 Cr 2.39-2.54, 1 Re 2.50
Re 0.0000 0.0000 0.5000  10 Co 2.46-2.55

Below is crystalline Nd3Sm5Tl3 at its relaxed geometry, with properties calculated at the PBE-GGA level.

Calculated values
- DFT formation energy (eV/atom) = 0.179
- symmetry = P-62m (189)
- crystal system = hexagonal

abc: 11.1154 11.1154 3.4901
angles: 90.00 90.00 120.00
Closest atoms and distances in Å follow each position.
Fractional positions:
Nd 0.0000 0.3969 0.0000  2 Tl 3.16, 3 Sm 3.41, 2 Nd 3.49
Nd 0.3969 0.0000 0.0000  2 Tl 3.16, 3 Sm 3.41, 2 Nd 3.49
Nd 0.6031 0.6031 0.0000  2 Tl 3.16, 3 Sm 3.41, 2 Nd 3.49
Sm 0.0000 0.7039 0.0000  4 Tl 3.34, 1 Nd 3.41, 2 Sm 3.49
Sm 0.2961 0.2961 0.0000  4 Tl 3.34, 1 Nd 3.41, 2 Sm 3.49
Sm 0.3333 0.6667 0.0000  3 Nd 3.41, 2 Sm 3.49
Sm 0.6667 0.3333 0.0000  3 Nd 3.41, 2 Sm 3.49
Sm 0.7039 0.0000 0.0000  4 Tl 3.34, 1 Nd 3.41, 2 Sm 3.49
Tl 0.0000 0.1595 0.5000  2 Tl 3.07, 2 Nd 3.16, 4 Sm 3.34
Tl 0.1595 0.0000 0.5000  2 Tl 3.07, 2 Nd 3.16, 4 Sm 3.34
Tl 0.8405 0.8405 0.5000  2 Tl 3.07, 2 Nd 3.16, 4 Sm 3.34

Below is crystalline TbPmDyHg at its relaxed geometry, with properties calculated at the PBE-GGA level.

Calculated values
- DFT formation energy (eV/atom) = -0.029
- symmetry = F-43m (216)
- crystal system = cubic
- relative energy among the computed polymorphs (eV/atom) = 0.202

abc: 5.4403 5.4403 5.4403
angles: 60.00 60.00 60.00
Closest atoms and distances in Å follow each position.
Fractional positions:
Tb 0.0000 0.0000 0.0000  4 Hg 3.33, 4 Pm 3.33
Pm 0.7500 0.7500 0.7500  4 Dy 3.33, 4 Tb 3.33
Dy 0.5000 0.5000 0.5000  4 Pm 3.33, 4 Hg 3.33
Hg 0.2500 0.2500 0.2500  4 Dy 3.33, 4 Tb 3.33

Below is crystalline Ni3Ir at its relaxed geometry, with properties calculated at the PBE-GGA level.

Calculated values
- DFT formation energy (eV/atom) = 0.184
- symmetry = R-3m (166)
- crystal system = trigonal

abc: 4.7818 4.7818 4.7818
angles: 116.94 116.94 116.94
Closest atoms and distances in Å follow each position.
Fractional positions:
Ni 0.0000 0.5000 0.5000  6 Ni 2.50-2.54, 2 Ir 2.50
Ni 0.5000 0.0000 0.5000  2 Ir 2.50, 6 Ni 2.50-2.54
Ni 0.5000 0.5000 0.0000  6 Ni 2.50-2.54, 2 Ir 2.50
Ir 0.0000 0.0000 0.0000  6 Ni 2.50, 2 Ir 2.54

Below is crystalline Si2TcTe at its relaxed geometry, with properties calculated at the PBE-GGA level.

Calculated values
- raw formation energy (eV per atom) = 0.3169
- symmetry = R3m (160)
- crystal system = trigonal

abc: 7.8603 7.8603 7.8603
angles: 24.14 24.14 24.14
Closest atoms and distances in Å follow each position.
Fractional positions:
Si 0.0000 0.0000 0.0000  3 Si 2.52, 3 Tc 2.54
Si 0.2612 0.2612 0.2612  3 Si 2.52
Tc 0.7406 0.7406 0.7406  3 Si 2.54, 3 Te 2.72
Te 0.4925 0.4925 0.4925  3 Tc 2.72, 3 Si 3.01

Below is crystalline K2Mg5Cu3As6O24 at its relaxed geometry, with properties calculated at the PBE-GGA level.

Calculated values
- raw formation energy (eV per atom) = -1.6449
- symmetry = P1 (1)
- crystal system = triclinic

abc: 6.8570 8.9022 8.9677
angles: 92.36 105.24 105.85
Closest atoms and distances in Å follow each position.
Fractional positions:
K 0.0000 0.0000 0.0000  6 O 2.66-2.90
K 0.4939 0.9637 0.0297  6 O 2.66-2.95
Mg 0.1188 0.5969 0.9560  6 O 2.04-2.20
Mg 0.4929 0.2326 0.7579  6 O 2.11-2.18
Mg 0.6170 0.9172 0.6417  6 O 2.06-2.16
Mg 0.8744 0.0388 0.3929  6 O 2.02-2.17
Mg 0.9960 0.7216 0.2737  6 O 2.11-2.18
Cu 0.4014 0.3621 0.0912  4 O 1.97-2.05
Cu 0.4943 0.4834 0.5189  4 O 1.95-1.97
Cu 0.9945 0.4751 0.5181  4 O 1.94-1.98
As 0.1166 0.8532 0.6628  4 O 1.70-1.74
As 0.3751 0.1041 0.3698  4 O 1.72-1.74
As 0.4950 0.6959 0.3049  4 O 1.72-1.76
As 0.6236 0.6214 0.8970  4 O 1.70-1.75
As 0.8741 0.3310 0.1404  4 O 1.70-1.75
As 0.9972 0.2606 0.7288  4 O 1.71-1.75
O 0.0160 0.4611 0.7416  1 As 1.75
O 0.0595 0.7015 0.5145  1 As 1.74, 1 Cu 1.94
O 0.0663 0.3824 0.0457  1 As 1.72
O 0.1215 0.7896 0.8395  1 As 1.70
O 0.1283 0.9720 0.3444  1 As 1.73
O 0.2190 0.2180 0.8321  1 As 1.71
O 0.2700 0.7286 0.1903  1 As 1.72
O 0.3633 0.9838 0.6831  1 As 1.73
O 0.3727 0.1670 0.1906  1 As 1.72
O 0.4289 0.2551 0.5172  1 As 1.74
O 0.4286 0.5633 0.9924  1 As 1.75
O 0.4829 0.4960 0.2999  1 As 1.76, 1 Cu 1.95
O 0.5035 0.7054 0.5019  1 As 1.75
O 0.5654 0.0082 0.4209  1 As 1.72
O 0.5685 0.4763 0.7438  1 As 1.74
O 0.6207 0.7986 0.8348  1 As 1.70
O 0.6276 0.3077 0.0068  1 As 1.75
O 0.7224 0.8044 0.2670  1 As 1.72
O 0.7679 0.1513 0.7651  1 As 1.73
O 0.8646 0.1522 0.2018  1 As 1.70
O 0.8684 0.6460 0.0272  1 As 1.72
O 0.9220 0.9451 0.6084  1 As 1.72
O 0.9256 0.4780 0.2920  1 As 1.74
O 0.9779 0.2527 0.5294  1 As 1.75, 1 Cu 1.96

Below is crystalline Sr3LiN at its relaxed geometry, with properties calculated at the PBE-GGA level.

Calculated values
- raw formation energy (eV per atom) = -0.2634
- symmetry = Pm-3m (221)
- crystal system = cubic

abc: 5.3788 5.3788 5.3788
angles: 90.00 90.00 90.00
Closest atoms and distances in Å follow each position.
Fractional positions:
Sr 0.0000 0.0000 0.5000  2 N 2.69
Sr 0.0000 0.5000 0.0000  2 N 2.69
Sr 0.5000 0.0000 0.0000  2 N 2.69
Li 0.5000 0.5000 0.5000  12 Sr 3.80
N 0.0000 0.0000 0.0000  6 Sr 2.69

Below is crystalline Er3Tm8Th at its relaxed geometry, with properties calculated at the PBE-GGA level.

Calculated values
- DFT formation energy (eV/atom) = 0.775
- symmetry = I4/mmm (139)
- crystal system = tetragonal

abc: 9.3233 9.3233 9.3233
angles: 131.89 131.89 70.41
Closest atoms and distances in Å follow each position.
Fractional positions:
Er 0.0000 0.0000 0.0000  8 Tm 3.29
Er 0.2500 0.7500 0.5000  8 Tm 3.29
Er 0.7500 0.2500 0.5000  8 Tm 3.29
Tm 0.1243 0.1243 0.4989  3 Er 3.29, 1 Th 3.30
Tm 0.1243 0.6254 0.0000  3 Er 3.29, 1 Th 3.30
Tm 0.3746 0.3746 0.4989  3 Er 3.29, 1 Th 3.30
Tm 0.3746 0.8757 0.0000  3 Er 3.29, 1 Th 3.30
Tm 0.6254 0.1243 0.0000  3 Er 3.29, 1 Th 3.30
Tm 0.6254 0.6254 0.5011  3 Er 3.29, 1 Th 3.30
Tm 0.8757 0.3746 0.0000  3 Er 3.29, 1 Th 3.30
Tm 0.8757 0.8757 0.5011  3 Er 3.29, 1 Th 3.30
Th 0.5000 0.5000 0.0000  8 Tm 3.30

What did we get for ρ? Answer: 6.40, 8.02, 7.38, 5.75, 10.47, 7.99, 9.73, 12.56, 6.56, 4.03, 3.03, 7.87 g cm⁻³, in the order shown.